Density functional theory data (PBE+U) for crystalline Na3Er3CrO8 at its relaxed geometry.

Calculated values
The value obtained for the total energy is -310.3 eV for the cell shown. For the spin magnetization, the calculation gives 6.0 μB/cell. Its calculated density is 5.99 g/cm³.

Cell lengths 6.5838, 6.5838, 16.6184 Å; angles 90.00, 90.00, 120.00 degrees
Space group R-3m (No. 166, hexagonal axes)
One atom of each set of equivalent atoms:
1 Na 0.0000 0.5000 0.0000 [9 per cell]
2 Er 0.0000 0.5000 0.5000 [9 per cell]
3 Cr 0.0000 0.0000 0.5000 [3 per cell]
4 O 0.0000 0.0000 0.2364 [6 per cell]
5 O 0.0350 0.5175 0.2314 [18 per cell]